Below is a relaxed structure of ReTc2PbO8, with properties calculated at the PBE level.

CIF file:
```
data_ReTc2PbO8
_symmetry_space_group_name_H-M 'C m m m'
_symmetry_Int_Tables_number 65
_symmetry_space_group_name_Hall '-C 2 2'
_cell_length_a 6.7580
_cell_length_b 7.0168
_cell_length_c 6.3241
_cell_angle_alpha 90.00
_cell_angle_beta 90.00
_cell_angle_gamma 90.00
loop_
_atom_site_label
_atom_site_type_symbol
_atom_site_fract_x
_atom_site_fract_y
_atom_site_fract_z
Re1 Re 0.0000 0.0000 0.0000
Tc1 Tc 0.0000 0.5000 0.2355
Pb1 Pb 0.0000 0.0000 0.5000
O1 O 0.0000 0.2837 0.0000
O2 O 0.0000 0.3381 0.5000
O3 O 0.2171 0.0000 0.2003
```

Properties
theoretical density: 7.9 g/cm³
formation energy from raw total energies: -1.29 eV/atom
size of the total moment: 0.00 μB per formula unit